Zr3CoB7: relaxed, PBE.

a b c (Å): 7.627 7.627 9.042
angles (deg): 90.00 90.00 155.15
Positions (direct):
Zr  0.106  0.894  0.555
Zr  0.106  0.894  0.945
Zr  0.246  0.754  0.250
Zr  0.754  0.246  0.750
Zr  0.894  0.106  0.055
Zr  0.894  0.106  0.445
Co  0.051  0.949  0.250
Co  0.949  0.051  0.750
B  0.274  0.726  0.533
B  0.274  0.726  0.967
B  0.369  0.631  0.652
B  0.369  0.631  0.848
B  0.445  0.555  0.250
B  0.483  0.517  0.593
B  0.483  0.517  0.907
B  0.517  0.483  0.093
B  0.517  0.483  0.407
B  0.555  0.445  0.750
B  0.631  0.369  0.152
B  0.631  0.369  0.348
B  0.726  0.274  0.033
B  0.726  0.274  0.467

Calculated values
* space group: Cmcm
* N(E_F): 2.6 states/eV/f.u.
* ΔH_f (0 K): -805 meV/atom
* calculated volume: 10.05 A^3/atom
* crystal system: orthorhombic